(1)
Below is an optimized crystal structure of NbPdOF2, with properties calculated at the PBE level.

```
data_NbPdOF2
_cell_length_a 4.197
_cell_length_b 4.197
_cell_length_c 4.107
_cell_angle_alpha 90.00
_cell_angle_beta 90.00
_cell_angle_gamma 90.00
_space_group_name_H-M_alt 'P 4/m m m'
_space_group_IT_number 123
_space_group_name_Hall '-P 4 2'
loop_
_atom_site_label
_atom_site_fract_x
_atom_site_fract_y
_atom_site_fract_z
Nb1 0.000 0.000 0.000
Pd1 0.500 0.500 0.500
O1 0.500 0.500 0.000
F1 0.000 0.500 0.500
```

Properties
Formation energy without anion corrections   -0.279 eV/atom
Excess energy over the best structure of this formula in the dataset   1250 meV/atom

***

(2)
Below is an optimized crystal structure of NbPdOF2, with properties calculated at the PBE level.

```
data_NbPdOF2
_cell_length_a 4.207
_cell_length_b 4.207
_cell_length_c 3.948
_cell_angle_alpha 90.00
_cell_angle_beta 90.00
_cell_angle_gamma 90.00
_space_group_name_H-M_alt 'P 4/m m m'
_space_group_IT_number 123
_space_group_name_Hall '-P 4 2'
loop_
_atom_site_label
_atom_site_fract_x
_atom_site_fract_y
_atom_site_fract_z
Nb1 0.000 0.000 0.000
Pd1 0.500 0.500 0.500
O1 0.000 0.000 0.500
F1 0.000 0.500 0.000
```

Properties
Formation energy without anion corrections   -1.529 eV/atom
Excess energy over the best structure of this formula in the dataset   0 meV/atom

***

(3)
Below is an optimized crystal structure of NbPtOF2, with properties calculated at the PBE level.

```
data_NbPtOF2
_cell_length_a 4.362
_cell_length_b 4.362
_cell_length_c 3.994
_cell_angle_alpha 90.00
_cell_angle_beta 90.00
_cell_angle_gamma 90.00
_space_group_name_H-M_alt 'P 4/m m m'
_space_group_IT_number 123
_space_group_name_Hall '-P 4 2'
loop_
_atom_site_label
_atom_site_fract_x
_atom_site_fract_y
_atom_site_fract_z
Nb1 0.000 0.000 0.000
Pt1 0.500 0.500 0.500
O1 0.500 0.500 0.000
F1 0.000 0.500 0.500
```

Properties
Formation energy without anion corrections   -0.046 eV/atom
Excess energy over the best structure of this formula in the dataset   1129 meV/atom

***

(4)
Below is an optimized crystal structure of NbPtO2F, with properties calculated at the PBE level.

```
data_NbPtO2F
_cell_length_a 3.998
_cell_length_b 3.998
_cell_length_c 4.182
_cell_angle_alpha 90.00
_cell_angle_beta 90.00
_cell_angle_gamma 90.00
_space_group_name_H-M_alt 'P 4/m m m'
_space_group_IT_number 123
_space_group_name_Hall '-P 4 2'
loop_
_atom_site_label
_atom_site_fract_x
_atom_site_fract_y
_atom_site_fract_z
Nb1 0.000 0.000 0.000
Pt1 0.500 0.500 0.500
O1 0.000 0.500 0.000
F1 0.000 0.000 0.500
```

Properties
Formation energy without anion corrections   -1.163 eV/atom